No. 1
Pm12Dy6Er: optimized geometry, GGA-PBE.

Structure (CIF):
```
data_Pm12Dy6Er
_chemical_formula_sum 'Pm12 Dy6 Er1'
_symmetry_space_group_name_H-M 'P 1'
_symmetry_Int_Tables_number 1
_cell_length_a 9.7656
_cell_length_b 9.7656
_cell_length_c 9.7656
_cell_angle_alpha 111.64
_cell_angle_beta 111.64
_cell_angle_gamma 111.64
loop_
_symmetry_equiv_pos_as_xyz
'x,y,z'
loop_
_atom_site_label
_atom_site_type_symbol
_atom_site_fract_x
_atom_site_fract_y
_atom_site_fract_z
_atom_site_occupancy
Pm1 Pm 0.0000 0.3845 0.6155 1
Pm2 Pm 0.0000 0.6155 0.3845 1
Pm3 Pm 0.2247 0.2247 0.5895 1
Pm4 Pm 0.2247 0.5895 0.2247 1
Pm5 Pm 0.3845 0.0000 0.6155 1
Pm6 Pm 0.3845 0.6155 0.0000 1
Pm7 Pm 0.4105 0.7753 0.7753 1
Pm8 Pm 0.5895 0.2247 0.2247 1
Pm9 Pm 0.6155 0.0000 0.3845 1
Pm10 Pm 0.6155 0.3845 0.0000 1
Pm11 Pm 0.7753 0.4105 0.7753 1
Pm12 Pm 0.7753 0.7753 0.4105 1
Dy1 Dy 0.0158 0.7725 0.7725 1
Dy2 Dy 0.2275 0.2275 0.9842 1
Dy3 Dy 0.2275 0.9842 0.2275 1
Dy4 Dy 0.7725 0.0158 0.7725 1
Dy5 Dy 0.7725 0.7725 0.0158 1
Dy6 Dy 0.9842 0.2275 0.2275 1
Er1 Er 0.5000 0.5000 0.5000 1
```

Output
Calculated total energy: -4.36 eV/atom
V: 34.4 Å³ per atom
SG: R-3m, No. 166
M_tot: 0.00 μB/atom



No. 2
Pm5DyEr6: optimized geometry, GGA-PBE.

Structure (CIF):
```
data_Pm5DyEr6
_chemical_formula_sum 'Pm5 Dy1 Er6'
_symmetry_space_group_name_H-M 'P 1'
_symmetry_Int_Tables_number 1
_cell_length_a 9.4433
_cell_length_b 9.4433
_cell_length_c 9.4433
_cell_angle_alpha 148.90
_cell_angle_beta 115.90
_cell_angle_gamma 72.95
loop_
_symmetry_equiv_pos_as_xyz
'x,y,z'
loop_
_atom_site_label
_atom_site_type_symbol
_atom_site_fract_x
_atom_site_fract_y
_atom_site_fract_z
_atom_site_occupancy
Pm1 Pm 0.0000 0.0000 0.0000 1
Pm2 Pm 0.1667 0.6667 0.5000 1
Pm3 Pm 0.3344 0.3344 0.0000 1
Pm4 Pm 0.6656 0.6656 0.0000 1
Pm5 Pm 0.8333 0.3333 0.5000 1
Dy1 Dy 0.5000 0.0000 0.5000 1
Er1 Er 0.0843 0.8337 0.2506 1
Er2 Er 0.2510 0.5000 0.7510 1
Er3 Er 0.4170 0.1663 0.2506 1
Er4 Er 0.5830 0.8337 0.7494 1
Er5 Er 0.7490 0.5000 0.2490 1
Er6 Er 0.9157 0.1663 0.7494 1
```

Output
Calculated total energy: -4.63 eV/atom
V: 32.1 Å³ per atom
SG: Immm, No. 71
M_tot: 0.00 μB/atom



No. 3
PmDy5Er5: optimized geometry, GGA-PBE.

Structure (CIF):
```
data_PmDy5Er5
_chemical_formula_sum 'Pm1 Dy5 Er5'
_symmetry_space_group_name_H-M 'P 1'
_symmetry_Int_Tables_number 1
_cell_length_a 6.7994
_cell_length_b 6.9425
_cell_length_c 8.2620
_cell_angle_alpha 76.42
_cell_angle_beta 76.91
_cell_angle_gamma 72.75
loop_
_symmetry_equiv_pos_as_xyz
'x,y,z'
loop_
_atom_site_label
_atom_site_type_symbol
_atom_site_fract_x
_atom_site_fract_y
_atom_site_fract_z
_atom_site_occupancy
Pm1 Pm 0.0000 0.0000 0.0000 1
Dy1 Dy 0.0000 0.5000 0.0000 1
Dy2 Dy 0.1568 0.6303 0.3584 1
Dy3 Dy 0.3227 0.7663 0.6555 1
Dy4 Dy 0.6773 0.2337 0.3445 1
Dy5 Dy 0.8432 0.3697 0.6416 1
Er1 Er 0.2116 0.1384 0.3158 1
Er2 Er 0.3534 0.2507 0.7156 1
Er3 Er 0.5000 0.5000 0.0000 1
Er4 Er 0.6466 0.7493 0.2844 1
Er5 Er 0.7884 0.8616 0.6842 1
```

Output
Calculated total energy: -4.45 eV/atom
V: 32.4 Å³ per atom
SG: P-1, No. 2
M_tot: 0.00 μB/atom



No. 4
Pm10DyEr6: optimized geometry, GGA-PBE.

Structure (CIF):
```
data_Pm10DyEr6
_chemical_formula_sum 'Pm10 Dy1 Er6'
_symmetry_space_group_name_H-M 'P 1'
_symmetry_Int_Tables_number 1
_cell_length_a 9.7732
_cell_length_b 9.7732
_cell_length_c 6.8651
_cell_angle_alpha 90.00
_cell_angle_beta 90.00
_cell_angle_gamma 120.00
loop_
_symmetry_equiv_pos_as_xyz
'x,y,z'
loop_
_atom_site_label
_atom_site_type_symbol
_atom_site_fract_x
_atom_site_fract_y
_atom_site_fract_z
_atom_site_occupancy
Pm1 Pm 0.0000 0.2754 0.3163 1
Pm2 Pm 0.0000 0.7246 0.6837 1
Pm3 Pm 0.2754 0.0000 0.3163 1
Pm4 Pm 0.2754 0.2754 0.6837 1
Pm5 Pm 0.3333 0.6667 0.0000 1
Pm6 Pm 0.3333 0.6667 0.5000 1
Pm7 Pm 0.6667 0.3333 0.0000 1
Pm8 Pm 0.6667 0.3333 0.5000 1
Pm9 Pm 0.7246 0.0000 0.6837 1
Pm10 Pm 0.7246 0.7246 0.3163 1
Dy1 Dy 0.0000 0.0000 0.0000 1
Er1 Er 0.0000 0.3705 0.8099 1
Er2 Er 0.0000 0.6295 0.1901 1
Er3 Er 0.3705 0.0000 0.8099 1
Er4 Er 0.3705 0.3705 0.1901 1
Er5 Er 0.6295 0.0000 0.1901 1
Er6 Er 0.6295 0.6295 0.8099 1
```

Output
Calculated total energy: -4.55 eV/atom
V: 33.4 Å³ per atom
SG: P-31m, No. 162
M_tot: 0.00 μB/atom



No. 5
Pm4Dy11Er9: optimized geometry, GGA-PBE.

Structure (CIF):
```
data_Pm4Dy11Er9
_chemical_formula_sum 'Pm4 Dy11 Er9'
_symmetry_space_group_name_H-M 'P 1'
_symmetry_Int_Tables_number 1
_cell_length_a 15.0203
_cell_length_b 15.0203
_cell_length_c 3.6674
_cell_angle_alpha 90.00
_cell_angle_beta 90.00
_cell_angle_gamma 112.73
loop_
_symmetry_equiv_pos_as_xyz
'x,y,z'
loop_
_atom_site_label
_atom_site_type_symbol
_atom_site_fract_x
_atom_site_fract_y
_atom_site_fract_z
_atom_site_occupancy
Pm1 Pm 0.0538 0.2551 0.0000 1
Pm2 Pm 0.2551 0.0538 0.0000 1
Pm3 Pm 0.7449 0.9462 0.0000 1
Pm4 Pm 0.9462 0.7449 0.0000 1
Dy1 Dy 0.0927 0.4552 0.5000 1
Dy2 Dy 0.1349 0.8651 0.5000 1
Dy3 Dy 0.2108 0.2108 0.5000 1
Dy4 Dy 0.3409 0.6591 0.5000 1
Dy5 Dy 0.4552 0.0927 0.5000 1
Dy6 Dy 0.5000 0.5000 0.5000 1
Dy7 Dy 0.5448 0.9073 0.5000 1
Dy8 Dy 0.6591 0.3409 0.5000 1
Dy9 Dy 0.7892 0.7892 0.5000 1
Dy10 Dy 0.8651 0.1349 0.5000 1
Dy11 Dy 0.9073 0.5448 0.5000 1
Er1 Er 0.0000 0.0000 0.0000 1
Er2 Er 0.1343 0.6627 0.0000 1
Er3 Er 0.2879 0.4334 0.0000 1
Er4 Er 0.3373 0.8657 0.0000 1
Er5 Er 0.4334 0.2879 0.0000 1
Er6 Er 0.5666 0.7121 0.0000 1
Er7 Er 0.6627 0.1343 0.0000 1
Er8 Er 0.7121 0.5666 0.0000 1
Er9 Er 0.8657 0.3373 0.0000 1
```

Output
Calculated total energy: -4.55 eV/atom
V: 31.8 Å³ per atom
SG: Cmmm, No. 65
M_tot: 0.00 μB/atom



No. 6
PmDy14Er: optimized geometry, GGA-PBE.

Structure (CIF):
```
data_PmDy14Er
_chemical_formula_sum 'Pm1 Dy14 Er1'
_symmetry_space_group_name_H-M 'P 1'
_symmetry_Int_Tables_number 1
_cell_length_a 11.4575
_cell_length_b 7.1223
_cell_length_c 7.1223
_cell_angle_alpha 59.98
_cell_angle_beta 90.00
_cell_angle_gamma 90.00
loop_
_symmetry_equiv_pos_as_xyz
'x,y,z'
loop_
_atom_site_label
_atom_site_type_symbol
_atom_site_fract_x
_atom_site_fract_y
_atom_site_fract_z
_atom_site_occupancy
Pm1 Pm 0.0000 0.0000 0.0000 1
Dy1 Dy 0.0000 0.0000 0.5004 1
Dy2 Dy 0.0000 0.5004 0.0000 1
Dy3 Dy 0.2496 0.3336 0.3336 1
Dy4 Dy 0.2509 0.3337 0.8332 1
Dy5 Dy 0.2509 0.8332 0.3337 1
Dy6 Dy 0.2514 0.8332 0.8332 1
Dy7 Dy 0.5000 0.1670 0.1670 1
Dy8 Dy 0.5000 0.1669 0.6667 1
Dy9 Dy 0.5000 0.6667 0.1669 1
Dy10 Dy 0.5000 0.6666 0.6666 1
Dy11 Dy 0.7491 0.3337 0.8332 1
Dy12 Dy 0.7491 0.8332 0.3337 1
Dy13 Dy 0.7486 0.8332 0.8332 1
Dy14 Dy 0.7504 0.3336 0.3336 1
Er1 Er 0.0000 0.5002 0.5002 1
```

Output
Calculated total energy: -4.61 eV/atom
V: 31.5 Å³ per atom
SG: Amm2, No. 38
M_tot: 0.00 μB/atom



No. 7
Pm5Dy12Er: optimized geometry, GGA-PBE.

Structure (CIF):
```
data_Pm5Dy12Er
_chemical_formula_sum 'Pm5 Dy12 Er1'
_symmetry_space_group_name_H-M 'P 1'
_symmetry_Int_Tables_number 1
_cell_length_a 10.4093
_cell_length_b 10.4093
_cell_length_c 5.7306
_cell_angle_alpha 90.00
_cell_angle_beta 90.00
_cell_angle_gamma 111.00
loop_
_symmetry_equiv_pos_as_xyz
'x,y,z'
loop_
_atom_site_label
_atom_site_type_symbol
_atom_site_fract_x
_atom_site_fract_y
_atom_site_fract_z
_atom_site_occupancy
Pm1 Pm 0.0000 0.0000 0.0000 1
Pm2 Pm 0.1384 0.8616 0.5000 1
Pm3 Pm 0.3641 0.6359 0.0000 1
Pm4 Pm 0.6359 0.3641 0.0000 1
Pm5 Pm 0.8616 0.1384 0.5000 1
Dy1 Dy 0.0267 0.6672 0.0000 1
Dy2 Dy 0.1670 0.5244 0.5000 1
Dy3 Dy 0.2017 0.2017 0.5000 1
Dy4 Dy 0.3011 0.3011 0.0000 1
Dy5 Dy 0.3328 0.9733 0.0000 1
Dy6 Dy 0.4756 0.8330 0.5000 1
Dy7 Dy 0.5244 0.1670 0.5000 1
Dy8 Dy 0.6672 0.0267 0.0000 1
Dy9 Dy 0.6989 0.6989 0.0000 1
Dy10 Dy 0.7983 0.7983 0.5000 1
Dy11 Dy 0.8330 0.4756 0.5000 1
Dy12 Dy 0.9733 0.3328 0.0000 1
Er1 Er 0.5000 0.5000 0.5000 1
```

Output
Calculated total energy: -4.55 eV/atom
V: 32.2 Å³ per atom
SG: Cmmm, No. 65
M_tot: 0.00 μB/atom



No. 8
PmDy2Er4: optimized geometry, GGA-PBE.

Structure (CIF):
```
data_PmDy2Er4
_chemical_formula_sum 'Pm2 Dy4 Er8'
_symmetry_space_group_name_H-M 'P 1'
_symmetry_Int_Tables_number 1
_cell_length_a 6.0248
_cell_length_b 6.5553
_cell_length_c 11.4905
_cell_angle_alpha 90.00
_cell_angle_beta 104.00
_cell_angle_gamma 90.00
loop_
_symmetry_equiv_pos_as_xyz
'x,y,z'
loop_
_atom_site_label
_atom_site_type_symbol
_atom_site_fract_x
_atom_site_fract_y
_atom_site_fract_z
_atom_site_occupancy
Pm1 Pm 0.0408 0.2500 0.3641 1
Pm2 Pm 0.9592 0.7500 0.6359 1
Dy1 Dy 0.1594 0.2500 0.9493 1
Dy2 Dy 0.3984 0.7500 0.5099 1
Dy3 Dy 0.6016 0.2500 0.4901 1
Dy4 Dy 0.8406 0.7500 0.0507 1
Er1 Er 0.1447 0.2500 0.6647 1
Er2 Er 0.2786 0.7500 0.9213 1
Er3 Er 0.3444 0.5077 0.2097 1
Er4 Er 0.3444 0.9923 0.2097 1
Er5 Er 0.6556 0.0077 0.7903 1
Er6 Er 0.6556 0.4923 0.7903 1
Er7 Er 0.7214 0.2500 0.0787 1
Er8 Er 0.8553 0.7500 0.3353 1
```

Output
Calculated total energy: -4.47 eV/atom
V: 31.5 Å³ per atom
SG: P2_1/m, No. 11
M_tot: 0.00 μB/atom



No. 9
Pm5Dy5Er: optimized geometry, GGA-PBE.

Structure (CIF):
```
data_Pm5Dy5Er
_chemical_formula_sum 'Pm5 Dy5 Er1'
_symmetry_space_group_name_H-M 'P 1'
_symmetry_Int_Tables_number 1
_cell_length_a 6.1211
_cell_length_b 6.1211
_cell_length_c 11.4952
_cell_angle_alpha 90.00
_cell_angle_beta 90.00
_cell_angle_gamma 120.00
loop_
_symmetry_equiv_pos_as_xyz
'x,y,z'
loop_
_atom_site_label
_atom_site_type_symbol
_atom_site_fract_x
_atom_site_fract_y
_atom_site_fract_z
_atom_site_occupancy
Pm1 Pm 0.0000 0.0000 0.2376 1
Pm2 Pm 0.0000 0.0000 0.7624 1
Pm3 Pm 0.3397 0.1698 0.0000 1
Pm4 Pm 0.8302 0.1698 0.0000 1
Pm5 Pm 0.8302 0.6603 0.0000 1
Dy1 Dy 0.0000 0.0000 0.5000 1
Dy2 Dy 0.3333 0.6667 0.1832 1
Dy3 Dy 0.3333 0.6667 0.8168 1
Dy4 Dy 0.6667 0.3333 0.3425 1
Dy5 Dy 0.6667 0.3333 0.6575 1
Er1 Er 0.3333 0.6667 0.5000 1
```

Output
Calculated total energy: -4.33 eV/atom
V: 33.9 Å³ per atom
SG: P-6m2, No. 187
M_tot: 0.00 μB/atom



No. 10
Pm3Dy7Er2: optimized geometry, GGA-PBE.

Structure (CIF):
```
data_Pm3Dy7Er2
_chemical_formula_sum 'Pm3 Dy7 Er2'
_symmetry_space_group_name_H-M 'P 1'
_symmetry_Int_Tables_number 1
_cell_length_a 5.8237
_cell_length_b 3.5591
_cell_length_c 18.7542
_cell_angle_alpha 90.00
_cell_angle_beta 93.06
_cell_angle_gamma 90.00
loop_
_symmetry_equiv_pos_as_xyz
'x,y,z'
loop_
_atom_site_label
_atom_site_type_symbol
_atom_site_fract_x
_atom_site_fract_y
_atom_site_fract_z
_atom_site_occupancy
Pm1 Pm 0.0000 0.0000 0.0000 1
Pm2 Pm 0.2797 0.5000 0.6335 1
Pm3 Pm 0.7203 0.5000 0.3665 1
Dy1 Dy 0.1892 0.5000 0.1440 1
Dy2 Dy 0.2429 0.0000 0.4629 1
Dy3 Dy 0.3086 0.0000 0.8228 1
Dy4 Dy 0.5000 0.5000 0.0000 1
Dy5 Dy 0.6914 0.0000 0.1772 1
Dy6 Dy 0.7571 0.0000 0.5371 1
Dy7 Dy 0.8108 0.5000 0.8560 1
Er1 Er 0.2095 0.0000 0.2932 1
Er2 Er 0.7905 0.0000 0.7068 1
```

Output
Calculated total energy: -4.55 eV/atom
V: 32.3 Å³ per atom
SG: P2/m, No. 10
M_tot: 0.00 μB/atom



No. 11
PmDy2Er5: optimized geometry, GGA-PBE.

Structure (CIF):
```
data_PmDy2Er5
_chemical_formula_sum 'Pm2 Dy4 Er10'
_symmetry_space_group_name_H-M 'P 1'
_symmetry_Int_Tables_number 1
_cell_length_a 5.6097
_cell_length_b 8.5659
_cell_length_c 11.3851
_cell_angle_alpha 89.98
_cell_angle_beta 90.00
_cell_angle_gamma 70.91
loop_
_symmetry_equiv_pos_as_xyz
'x,y,z'
loop_
_atom_site_label
_atom_site_type_symbol
_atom_site_fract_x
_atom_site_fract_y
_atom_site_fract_z
_atom_site_occupancy
Pm1 Pm 0.2268 0.0458 0.2501 1
Pm2 Pm 0.7732 0.9542 0.7499 1
Dy1 Dy 0.2122 0.0758 0.5807 1
Dy2 Dy 0.2124 0.0756 0.9192 1
Dy3 Dy 0.7876 0.9244 0.0808 1
Dy4 Dy 0.7878 0.9242 0.4193 1
Er1 Er 0.0435 0.4135 0.3874 1
Er2 Er 0.0438 0.4128 0.1123 1
Er3 Er 0.3960 0.7083 0.7500 1
Er4 Er 0.4130 0.6735 0.0785 1
Er5 Er 0.4132 0.6737 0.4218 1
Er6 Er 0.5868 0.3263 0.5782 1
Er7 Er 0.5870 0.3265 0.9215 1
Er8 Er 0.6040 0.2917 0.2500 1
Er9 Er 0.9562 0.5872 0.8877 1
Er10 Er 0.9565 0.5865 0.6126 1
```

Output
Calculated total energy: -4.45 eV/atom
V: 32.3 Å³ per atom
SG: P-1, No. 2
M_tot: 0.00 μB/atom



No. 12
Pm3Dy2Er3: optimized geometry, GGA-PBE.

Structure (CIF):
```
data_Pm3Dy2Er3
_chemical_formula_sum 'Pm6 Dy4 Er6'
_symmetry_space_group_name_H-M 'P 1'
_symmetry_Int_Tables_number 1
_cell_length_a 5.0362
_cell_length_b 5.0508
_cell_length_c 20.2114
_cell_angle_alpha 90.00
_cell_angle_beta 90.00
_cell_angle_gamma 90.00
loop_
_symmetry_equiv_pos_as_xyz
'x,y,z'
loop_
_atom_site_label
_atom_site_type_symbol
_atom_site_fract_x
_atom_site_fract_y
_atom_site_fract_z
_atom_site_occupancy
Pm1 Pm 0.0000 0.0000 0.0000 1
Pm2 Pm 0.0000 0.5000 0.1248 1
Pm3 Pm 0.0000 0.5000 0.8752 1
Pm4 Pm 0.5000 0.0000 0.3752 1
Pm5 Pm 0.5000 0.0000 0.6248 1
Pm6 Pm 0.5000 0.5000 0.5000 1
Dy1 Dy 0.0000 0.0000 0.2494 1
Dy2 Dy 0.0000 0.0000 0.7506 1
Dy3 Dy 0.5000 0.5000 0.2506 1
Dy4 Dy 0.5000 0.5000 0.7494 1
Er1 Er 0.0000 0.0000 0.5000 1
Er2 Er 0.0000 0.5000 0.3740 1
Er3 Er 0.0000 0.5000 0.6260 1
Er4 Er 0.5000 0.0000 0.1260 1
Er5 Er 0.5000 0.0000 0.8740 1
Er6 Er 0.5000 0.5000 0.0000 1
```

Output
Calculated total energy: -4.62 eV/atom
V: 32.1 Å³ per atom
SG: Immm, No. 71
M_tot: 0.00 μB/atom